(1)
Density functional theory data (GGA-PBE) for an optimized crystal structure of CsAg2Au3.

Geometry as extended XYZ:
```
12
Lattice="5.7277 0.0000 0.0000 0.0000 7.1490 -2.1383 0.0000 0.3410 7.4541" Properties=species:S:1:pos:R:3 pbc="T T T"
Cs 1.4319 2.5522 1.8114
Au 1.4319 6.8921 1.9276
Au 1.4319 4.0942 5.8697
Au 4.2958 3.3957 -0.5538
Cs 4.2958 4.9378 3.5045
Au 1.4319 6.7750 4.8084
Ag 0.0000 5.8098 -0.2514
Ag 0.0000 1.6802 5.5672
Au 4.2958 0.7149 0.5074
Au 4.2958 0.5979 3.3882
Ag 2.8638 5.8098 -0.2514
Ag 2.8638 1.6802 5.5672
```

N(E_F) in states/eV/f.u.: 1.31
ΔH_f (0 K) in meV/atom: -111
Crystal system: orthorhombic



(2)
Density functional theory data (GGA-PBE) for an optimized crystal structure of Ac2Zn3CoGe4.

Geometry as extended XYZ:
```
10
Lattice="-1.2403 0.3945 4.2313 -3.2756 -2.8968 -0.6901 6.3515 -7.7986 2.5889" Properties=species:S:1:pos:R:3 pbc="T T T"
Co 0.9178 -5.1505 3.0651
Zn 3.1757 -3.8993 1.2944
Ge 0.0000 0.0000 0.0000
Zn 4.8781 -6.5538 4.3567
Zn -0.7846 -2.4960 0.0027
Ge 0.7849 -4.4232 0.6425
Ac 1.0269 -1.8250 2.7870
Ge -2.2579 -1.2512 1.7706
Ac 3.0667 -7.2248 1.5725
Ge 3.3086 -4.6266 3.7170
```

N(E_F) in states/eV/f.u.: 5.70
ΔH_f (0 K) in meV/atom: -413
Crystal system: tetragonal



Let's list ρ in order: 10.08, 8.16 Mg/m³.